Entry 1:
PmEuHg2: optimized geometry, PBEsol.

Its formation enthalpy at 0 K is -582 meV per atom.

```
PmEuHg2
1.0
5.316 0.000 0.000
2.658 4.604 0.000
2.658 1.535 4.341
Eu Hg Pm
1 2 1
Cartesian
5.316 3.069 2.170
2.658 1.535 1.085
7.974 4.604 3.256
0.000 0.000 0.000
```

Entry 2:
PrEuHg2: optimized geometry, PBEsol.

Its formation enthalpy at 0 K is -581 meV per atom.

```
PrEuHg2
1.0
5.357 0.000 0.000
2.678 4.639 0.000
2.678 1.546 4.374
Hg Pr Eu
2 1 1
Cartesian
2.678 1.546 1.093
8.035 4.639 3.280
5.357 3.093 2.187
0.000 0.000 0.000
```

Entry 3:
Eu2HgSb: optimized geometry, PBEsol.

The formation energy from raw total energies is -0.8353 eV/atom.

```
Eu2HgSb
1.0
-0.863 0.204 5.329
-3.712 -3.209 2.260
1.540 -4.113 3.145
Sb Eu Hg
1 2 1
Cartesian
0.000 0.000 0.000
-0.759 -1.780 2.684
-2.276 -5.339 8.051
-1.517 -3.559 5.368
```